No. 1
A plane-wave DFT calculation with PBE was carried out for a relaxed Y2NiBPb crystal.

Calculated values
density of states at the Fermi level	4.59	states/eV/f.u.
volume	21.1	Å³ per atom
magnetic moment	0.0	μB per formula unit
energy	-6.13	eV/atom

Geometry as CIF:
```
data_Y2NiBPb
_symmetry_space_group_name_H-M 'P 4/m m m'
_symmetry_Int_Tables_number 123
_symmetry_space_group_name_Hall '-P 4 2'
_cell_length_a 5.184
_cell_length_b 5.184
_cell_length_c 3.921
_cell_angle_alpha 90.00
_cell_angle_beta 90.00
_cell_angle_gamma 90.00
loop_
_atom_site_label
_atom_site_type_symbol
_atom_site_fract_x
_atom_site_fract_y
_atom_site_fract_z
Y1 Y 0.000 0.500 0.000
Ni1 Ni 0.000 0.000 0.500
B1 B 0.000 0.000 0.000
Pb1 Pb 0.500 0.500 0.500
```

No. 2
A plane-wave DFT calculation with PBE was carried out for a relaxed NiB2Pd8 crystal.

Calculated values
density of states at the Fermi level	11.05	states/eV/f.u.
volume	14.9	Å³ per atom
magnetic moment	0.0	μB per formula unit
energy	-5.46	eV/atom

Geometry as CIF:
```
data_NiB2Pd8
_symmetry_space_group_name_H-M 'C 1 2/m 1'
_symmetry_Int_Tables_number 12
_cell_length_a 9.604
_cell_length_b 8.058
_cell_length_c 4.240
_cell_angle_alpha 90.00
_cell_angle_beta 92.98
_cell_angle_gamma 90.00
loop_
_symmetry_equiv_pos_as_xyz
'x,y,z'
'-x,-y,-z'
'-x,y,-z'
'x,-y,z'
'x+1/2,y+1/2,z'
'-x+1/2,-y+1/2,-z'
'-x+1/2,y+1/2,-z'
'x+1/2,-y+1/2,z'
loop_
_atom_site_label
_atom_site_type_symbol
_atom_site_fract_x
_atom_site_fract_y
_atom_site_fract_z
Ni1 Ni 0.000 0.000 0.000
B1 B 0.188 0.000 0.231
Pd1 Pd 0.095 0.500 0.763
Pd2 Pd 0.110 0.241 0.286
Pd3 Pd 0.217 0.000 0.726
```